No. 1
Entry from Alexandria: CaHo2Pa after structural relaxation (GGA-PBE).

```
CaHo2Pa
1.0
3.4930 0.0000 0.0000
0.0000 3.4930 0.0000
0.0000 0.0000 10.2807
Pa Ho Ca
1 2 1
direct
0.5000 0.5000 0.0000 Pa
0.0000 0.0000 0.7819 Ho
0.0000 0.0000 0.2181 Ho
0.5000 0.5000 0.5000 Ca
```

Calculated values
Calculated volume   31.358 A^3/atom
SG   P4/mmm
Fermi-level density of states   6.21 states/eV/f.u.
Calculated formation energy   144 meV per atom
M_tot   0.0 μB/f.u.
Uncorrected energy   -5.019 eV/atom
Polymorph energy (0 for the lowest one)   0.000 eV/atom

No. 2
Entry from Alexandria: Ac2CdIr after structural relaxation (GGA-PBE).

```
Ac2CdIr
1.0
-0.0888 -0.7496 3.7269
-3.1564 -2.0631 -0.4902
4.5970 -6.7370 -1.2456
Cd Ac Ir
1 2 1
direct
0.5000 0.5000 0.5000 Cd
0.0000 0.0000 0.7867 Ac
0.0000 0.0000 0.2133 Ac
0.5000 0.5000 0.0000 Ir
```

Calculated values
Calculated volume   29.825 A^3/atom
SG   P4/mmm
Fermi-level density of states   2.64 states/eV/f.u.
Calculated formation energy   -403 meV per atom
M_tot   0.0 μB/f.u.
Uncorrected energy   -4.901 eV/atom